No. 1
Compound: Tl3In3Ga2
Source: the Alexandria database
Functional: PBE
Structure: optimized geometry

Unit cell a=8.500 b=17.148 c=6.060 alpha=90.00 beta=90.00 gamma=90.00
Space group Pnma (No. 62)
One atom of each set of equivalent atoms:
Tl 0.025 0.113 0.108 (multiplicity 8)
Tl 0.166 0.250 0.637 (multiplicity 4)
In 0.186 0.029 0.603 (multiplicity 8)
In 0.196 0.750 0.651 (multiplicity 4)
Ga 0.105 0.618 0.384 (multiplicity 8)

Computed properties:
The density of states at the Fermi level comes out at 0.5152 states/eV per atom. Its formation enthalpy at 0 K is 0.051 eV per atom.


No. 2
Compound: LaMg6Sn2
Source: the Alexandria database
Functional: PBE
Structure: optimized geometry

Unit cell a=4.536 b=4.536 c=11.009 alpha=90.00 beta=90.00 gamma=90.00
Space group P4/mmm (No. 123)
One atom of each set of equivalent atoms:
La 0.000 0.000 0.000 (multiplicity 1)
Mg 0.000 0.000 0.500 (multiplicity 1)
Mg 0.000 0.500 0.297 (multiplicity 4)
Mg 0.500 0.500 0.500 (multiplicity 1)
Sn 0.500 0.500 0.131 (multiplicity 2)

Computed properties:
The density of states at the Fermi level comes out at 0.5090 states/eV per atom. Its formation enthalpy at 0 K is -0.251 eV per atom.


No. 3
Compound: BaPmSn
Source: the Alexandria database
Functional: PBE
Structure: optimized geometry

Unit cell a=5.297 b=5.312 c=15.690 alpha=90.00 beta=90.00 gamma=90.00
Space group Cmmm (No. 65)
One atom of each set of equivalent atoms:
Ba 0.000 0.000 0.209 (multiplicity 4)
Pm 0.000 0.000 0.500 (multiplicity 2)
Pm 0.000 0.500 0.000 (multiplicity 2)
Sn 0.000 0.500 0.365 (multiplicity 4)

Computed properties:
The density of states at the Fermi level comes out at 1.0269 states/eV per atom. Its formation enthalpy at 0 K is -0.289 eV per atom.


No. 4
Compound: P4PbSe
Source: the Alexandria database
Functional: PBE
Structure: optimized geometry

Unit cell a=8.219 b=8.219 c=8.219 alpha=90.00 beta=90.00 gamma=90.00
Space group F-43m (No. 216)
One atom of each set of equivalent atoms:
P 0.095 0.095 0.405 (multiplicity 16)
Pb 0.000 0.000 0.000 (multiplicity 4)
Se 0.250 0.250 0.750 (multiplicity 4)

Computed properties:
The energy relative to the elements, uncorrected is 0.278 eV/atom. The density of states at the Fermi level comes out at 0.4540 states/eV per atom.


No. 5
Compound: Ac2Cu4SnGe3
Source: the Alexandria database
Functional: PBE
Structure: optimized geometry

Unit cell a=4.398 b=4.398 c=10.504 alpha=90.00 beta=90.00 gamma=90.00
Space group P-4m2 (No. 115)
One atom of each set of equivalent atoms:
Ac 0.000 0.500 0.235 (multiplicity 2)
Cu 0.000 0.000 0.000 (multiplicity 1)
Cu 0.000 0.500 0.641 (multiplicity 2)
Cu 0.500 0.500 0.000 (multiplicity 1)
Sn 0.000 0.000 0.500 (multiplicity 1)
Ge 0.000 0.500 0.878 (multiplicity 2)
Ge 0.500 0.500 0.500 (multiplicity 1)

Computed properties:
The density of states at the Fermi level comes out at 0.4030 states/eV per atom. Its formation enthalpy at 0 K is -0.473 eV per atom.


No. 6
Compound: Rb4TeBr2
Source: the Alexandria database
Functional: PBE
Structure: optimized geometry

Unit cell a=6.849 b=6.849 c=18.429 alpha=90.00 beta=90.00 gamma=90.00
Space group I4/mmm (No. 139)
One atom of each set of equivalent atoms:
Rb 0.000 0.000 0.186 (multiplicity 4)
Rb 0.000 0.500 0.000 (multiplicity 4)
Te 0.000 0.000 0.000 (multiplicity 2)
Br 0.000 0.000 0.364 (multiplicity 4)

Computed properties:
The energy relative to the elements, uncorrected is -1.220 eV/atom.


No. 7
Compound: PSO2
Source: the Alexandria database
Functional: PBE
Structure: optimized geometry

Unit cell a=7.511 b=7.511 c=7.511 alpha=90.00 beta=90.00 gamma=90.00
Space group Fd-3m (No. 227, origin choice 2)
One atom of each set of equivalent atoms:
P 0.125 0.125 0.125 (multiplicity 8)
S 0.125 0.125 0.625 (multiplicity 8)
O 0.000 0.000 0.000 (multiplicity 16)

Computed properties:
The energy relative to the elements, uncorrected is -0.347 eV/atom. The density of states at the Fermi level comes out at 0.3077 states/eV per atom.


No. 8
Compound: Ba2PmTeO6
Source: the Alexandria database
Functional: PBE
Structure: optimized geometry

Unit cell a=6.191 b=8.750 c=6.192 alpha=90.00 beta=90.00 gamma=90.00
Space group Pmmn (No. 59, origin choice 2)
One atom of each set of equivalent atoms:
Ba 0.250 0.000 0.249 (multiplicity 4)
Pm 0.250 0.250 0.750 (multiplicity 2)
Te 0.250 0.750 0.750 (multiplicity 2)
O 0.012 0.750 0.513 (multiplicity 4)
O 0.013 0.750 0.988 (multiplicity 4)
O 0.250 0.513 0.751 (multiplicity 4)

Computed properties:
The energy relative to the elements, uncorrected is -2.368 eV/atom. The density of states at the Fermi level comes out at 0.2723 states/eV per atom.


No. 9
Compound: TlHIF6
Source: the Alexandria database
Functional: PBE
Structure: optimized geometry

Unit cell a=4.434 b=5.787 c=6.496 alpha=88.98 beta=86.80 gamma=73.78
Space group P1 (No. 1)
One atom of each set of equivalent atoms:
Tl 0.000 0.000 0.000 (multiplicity 1)
H 0.489 0.885 0.353 (multiplicity 1)
I 0.102 0.491 0.499 (multiplicity 1)
F 0.208 0.642 0.758 (multiplicity 1)
F 0.278 0.730 0.301 (multiplicity 1)
F 0.505 0.000 0.956 (multiplicity 1)
F 0.622 0.990 0.378 (multiplicity 1)
F 0.932 0.264 0.678 (multiplicity 1)
F 0.981 0.347 0.240 (multiplicity 1)

Computed properties:
Its total energy is -32.3 eV per cell. The density of states at the Fermi level comes out at 0.2301 states/eV per atom.


No. 10
Compound: MgNi2As
Source: the Alexandria database
Functional: PBE
Structure: optimized geometry

Unit cell a=2.963 b=3.888 c=5.075 alpha=90.00 beta=90.43 gamma=90.00
Space group P2/m (No. 10)
One atom of each set of equivalent atoms:
Mg 0.000 0.000 0.000 (multiplicity 1)
Ni 0.497 0.500 0.756 (multiplicity 2)
As 0.500 0.000 0.500 (multiplicity 1)

Computed properties:
The density of states at the Fermi level comes out at 0.6493 states/eV per atom. Its formation enthalpy at 0 K is -0.173 eV per atom.


No. 11
Compound: Re2TcPt
Source: the Alexandria database
Functional: PBE
Structure: optimized geometry

Unit cell a=6.120 b=6.120 c=9.100 alpha=90.00 beta=90.00 gamma=90.00
Space group I-42d (No. 122)
One atom of each set of equivalent atoms:
Re 0.245 0.250 0.125 (multiplicity 8)
Tc 0.000 0.000 0.000 (multiplicity 4)
Pt 0.000 0.000 0.500 (multiplicity 4)

Computed properties:
The density of states at the Fermi level comes out at 1.3400 states/eV per atom. Its formation enthalpy at 0 K is 1.347 eV per atom.


No. 12
Compound: SrGaSb
Source: the Alexandria database
Functional: PBE
Structure: optimized geometry

Unit cell a=8.243 b=4.902 c=9.343 alpha=90.00 beta=90.00 gamma=90.00
Space group Pnma (No. 62)
One atom of each set of equivalent atoms:
Sr 0.113 0.250 0.172 (multiplicity 4)
Ga 0.006 0.750 0.439 (multiplicity 4)
Sb 0.170 0.250 0.821 (multiplicity 4)

Computed properties:
The energy relative to the elements, uncorrected is -0.669 eV/atom. The density of states at the Fermi level comes out at 0.1250 states/eV per atom.